# 1
# LiCoH3

A relaxed structure of LiCoH3 (PBE-GGA, the Alexandria database).

Cell lengths 2.751, 4.262, 5.325 Å; angles 90.00, 89.98, 90.00 degrees
Positions (direct):
H 0.750 0.991 0.147
H 0.250 0.009 0.853
H 0.750 0.509 0.147
H 0.250 0.491 0.853
H 0.750 0.250 0.604
H 0.250 0.750 0.396
Co 0.750 0.250 0.901
Co 0.250 0.750 0.099
Li 0.251 0.250 0.378
Li 0.749 0.750 0.622

## Properties
**Total magnetization**: 0.1401 μB per atom
**D(E_F)**: 1.7 states/eV/f.u.
**Space-group type**: Pmmn
**Mass density**: 3.66 g/cm3


# 2
# Li3CoH

A relaxed structure of Li3CoH (PBE-GGA, the Alexandria database).

Cell lengths 4.678, 4.678, 4.678 Å; angles 90.00, 90.00, 90.00 degrees
Positions (direct):
H 0.500 0.500 0.500
Co 0.000 0.000 0.000
Li 0.000 0.500 0.000
Li 0.000 0.000 0.500
Li 0.500 0.000 0.000

## Properties
**Total magnetization**: 0.2000 μB per atom
**D(E_F)**: 9.5 states/eV/f.u.
**Space-group type**: Pm-3m
**Mass density**: 1.31 g/cm3


# 3
# Li2Co2H7

A relaxed structure of Li2Co2H7 (PBE-GGA, the Alexandria database).

Cell lengths 4.038, 4.247, 4.038 Å; angles 90.00, 98.16, 90.00 degrees
Positions (direct):
Li 0.759 0.500 0.759
Li 0.241 0.500 0.241
Co 0.733 0.000 0.267
Co 0.267 0.000 0.733
H 0.000 0.230 0.500
H 0.500 0.770 0.000
H 0.000 0.770 0.500
H 0.500 0.230 0.000
H 0.000 0.000 0.000
H 0.500 0.810 0.500
H 0.500 0.190 0.500

## Properties
**Total magnetization**: 0.0000 μB per atom
**D(E_F)**: 3.2 states/eV/f.u.
**Space-group type**: Cmmm
**Mass density**: 3.36 g/cm3


# 4
# LiCoH3

A relaxed structure of LiCoH3 (PBE-GGA, the Alexandria database).

Cell lengths 2.666, 2.666, 4.513 Å; angles 90.00, 90.00, 90.00 degrees
Positions (direct):
H 0.000 0.000 0.723
H 0.500 0.000 0.405
H 0.000 0.500 0.405
Co 0.500 0.500 0.608
Li 0.000 0.000 0.122

## Properties
**Total magnetization**: 0.0000 μB per atom
**D(E_F)**: 1.1 states/eV/f.u.
**Space-group type**: P4mm
**Mass density**: 3.57 g/cm3


# 5
# LiCoH2

A relaxed structure of LiCoH2 (PBE-GGA, the Alexandria database).

Cell lengths 3.274, 3.274, 3.274 Å; angles 60.00, 60.00, 60.00 degrees
Positions (direct):
H 0.250 0.250 0.250
H 0.750 0.750 0.750
Co 0.500 0.500 0.500
Li 0.000 0.000 0.000

## Properties
**Total magnetization**: 0.0000 μB per atom
**D(E_F)**: 0.1 states/eV/f.u.
**Space-group type**: Fm-3m
**Mass density**: 4.54 g/cm3


# 6
# Li3Co2H9

A relaxed structure of Li3Co2H9 (PBE-GGA, the Alexandria database).

Cell lengths 4.415, 4.415, 11.861 Å; angles 90.00, 90.00, 120.00 degrees
Positions (direct):
Li 0.000 0.000 0.750
Li 0.000 0.000 0.250
Li 0.667 0.333 0.929
Li 0.333 0.667 0.071
Li 0.333 0.667 0.429
Li 0.667 0.333 0.571
Co 0.667 0.333 0.158
Co 0.333 0.667 0.842
Co 0.333 0.667 0.658
Co 0.667 0.333 0.342
H 0.498 0.996 0.750
H 0.004 0.502 0.750
H 0.498 0.502 0.750
H 0.502 0.004 0.250
H 0.996 0.498 0.250
H 0.502 0.498 0.250
H 0.182 0.365 0.922
H 0.635 0.818 0.922
H 0.182 0.818 0.922
H 0.818 0.635 0.078
H 0.365 0.182 0.078
H 0.818 0.182 0.078
H 0.818 0.635 0.422
H 0.365 0.182 0.422
H 0.818 0.182 0.422
H 0.182 0.365 0.578
H 0.635 0.818 0.578
H 0.182 0.818 0.578

## Properties
**Total magnetization**: 0.0054 μB per atom
**Space-group type**: P6_3/mmc
**Mass density**: 2.45 g/cm3


Number 1: uncorrected energy -39.85 eV/cell. Number 2: uncorrected energy -11.65 eV/cell. Number 3: uncorrected energy -42.91 eV/cell. Number 4: uncorrected energy -19.19 eV/cell. Number 5: uncorrected energy -14.68 eV/cell. Number 6: uncorrected energy -105.53 eV/cell.